A plane-wave DFT calculation with PBE+U was carried out for Ac2VRuO8 after structural relaxation.

abc: 6.2499 5.4807 5.9651
angles: 75.97 103.12 112.31
With the nearest neighbours (Å) after each atom.
Fractional positions:
Ac 0.6648 0.3811 0.8054  7 O 2.48-2.70
Ac 0.3352 0.6189 0.1946  7 O 2.48-2.70
V 0.0000 0.0000 0.5000  6 O 1.85-1.99
Ru 0.0000 0.0000 0.0000  6 O 1.91-2.06
O 0.0695 0.8001 0.3199  1 V 1.92, 1 Ru 2.00
O 0.6768 0.7794 0.9727  1 Ru 1.91
O 0.9347 0.2223 0.1922  1 V 1.99, 1 Ru 2.06
O 0.9305 0.1999 0.6801  1 V 1.92, 1 Ru 2.00
O 0.3232 0.2206 0.0273  1 Ru 1.91
O 0.0653 0.7777 0.8078  1 V 1.99, 1 Ru 2.06
O 0.6940 0.7657 0.4795  1 V 1.85
O 0.3060 0.2343 0.5205  1 V 1.85

Output
Its total energy is -7.60 eV per atom.